Version P
An optimized crystal structure of CuNiGe2. Source: Alexandria, functional PBE-GGA.

The structure belongs to space group I-42d (No. 122); the cell edges are 6.839, 6.839 and 5.311 Å and the angles 90.00°, 90.00° and 90.00°. The distinct sites, in fractional coordinates, are Cu at (0.000, 0.000, 0.000), Ni at (0.000, 0.000, 0.500) and Ge at (0.229, 0.750, 0.625).


Version Q
An optimized crystal structure of CuNiGe2. Source: Alexandria, functional PBE-GGA.

The structure belongs to space group R-3m (No. 166, hexagonal axes); the cell edges are 2.9309, 2.9309 and 24.8422 Å and the angles 90.00°, 90.00° and 120.00°. The distinct sites, in fractional coordinates, are Cu at (0.0000, 0.0000, 0.0000), Ni at (0.0000, 0.0000, 0.5000) and Ge at (0.0000, 0.0000, 0.0947).


Energies relative to the most stable structure, in eV/atom: version P 0.182; version Q 0.000.


Version P
An optimized crystal structure of Cu2NiGe2. Source: Alexandria, functional PBE-GGA.

The structure belongs to space group P4/mbm (No. 127); the cell edges are 6.517, 6.517 and 3.378 Å and the angles 90.00°, 90.00° and 90.00°. The distinct sites, in fractional coordinates, are Cu at (0.132, 0.368, 0.000), Ni at (0.000, 0.000, 0.000) and Ge at (0.174, 0.674, 0.500).


Version Q
An optimized crystal structure of Cu2NiGe2. Source: Alexandria, functional PBE-GGA.

The structure belongs to space group P4/mbm (No. 127); the cell edges are 6.186, 6.186 and 3.755 Å and the angles 90.00°, 90.00° and 90.00°. The distinct sites, in fractional coordinates, are Cu at (0.151, 0.349, 0.000), Ni at (0.000, 0.000, 0.500) and Ge at (0.151, 0.651, 0.500).


Energies relative to the most stable structure, in eV/atom: version P 0.104; version Q 0.000.


Version P
An optimized crystal structure of CuNi4Ge. Source: Alexandria, functional PBE-GGA.

The structure belongs to space group C2/m (No. 12); the cell edges are 5.443, 5.429 and 5.446 Å and the angles 90.00°, 90.40° and 90.00°. The distinct sites, in fractional coordinates, are Cu at (0.000, 0.000, 0.000), Ni at (0.250, 0.249, 0.746) and Ge at (0.000, 0.500, 0.500).


Version Q
An optimized crystal structure of CuNi4Ge. Source: Alexandria, functional PBE-GGA.

The structure belongs to space group C2/m (No. 12); the cell edges are 7.960, 3.538 and 5.117 Å and the angles 90.00°, 108.03° and 90.00°. The distinct sites, in fractional coordinates, are Cu at (0.000, 0.000, 0.000), Ni at (0.166, 0.500, 0.333), Ni at (0.166, 0.500, 0.834) and Ge at (0.000, 0.000, 0.500).


Energies relative to the most stable structure, in eV/atom: version P 0.292; version Q 0.000.


Version P
An optimized crystal structure of CuNi5Ge. Source: Alexandria, functional PBE-GGA.

The structure belongs to space group C2/c (No. 15); the cell edges are 8.328, 4.556 and 8.940 Å and the angles 90.00°, 97.26° and 90.00°. The distinct sites, in fractional coordinates, are Cu at (0.000, 0.000, 0.000), Ni at (0.000, 0.240, 0.250), Ni at (0.152, 0.496, 0.044), Ni at (0.238, 0.013, 0.689) and Ge at (0.000, 0.268, 0.750).


Version Q
An optimized crystal structure of CuNi5Ge. Source: Alexandria, functional PBE-GGA.

The structure belongs to space group Cmmm (No. 65); the cell edges are 5.054, 6.772 and 5.025 Å and the angles 90.00°, 90.00° and 90.00°. The distinct sites, in fractional coordinates, are Cu at (0.000, 0.000, 0.000), Ni at (0.000, 0.000, 0.500), Ni at (0.250, 0.250, 0.245) and Ge at (0.000, 0.500, 0.500).


Energies relative to the most stable structure, in eV/atom: version P 0.042; version Q 0.000.


Version P
An optimized crystal structure of CuGe3O. Source: Alexandria, functional PBE-GGA.

The structure belongs to space group Pm-3m (No. 221); the cell edges are 4.598, 4.598 and 4.598 Å and the angles 90.00°, 90.00° and 90.00°. The distinct sites, in fractional coordinates, are Cu at (0.000, 0.000, 0.000), Ge at (0.000, 0.000, 0.500) and O at (0.500, 0.500, 0.500).


Version Q
An optimized crystal structure of CuGe3O. Source: Alexandria, functional PBE-GGA.

The structure belongs to space group Pm-3m (No. 221); the cell edges are 4.377, 4.377 and 4.377 Å and the angles 90.00°, 90.00° and 90.00°. The distinct sites, in fractional coordinates, are Cu at (0.000, 0.000, 0.000), Ge at (0.000, 0.500, 0.500) and O at (0.500, 0.500, 0.500).


Energies relative to the most stable structure, in eV/atom: version P 0.508; version Q 0.000.


Version P
An optimized crystal structure of Cu3GeO. Source: Alexandria, functional PBE-GGA.

The structure belongs to space group Pm-3m (No. 221); the cell edges are 4.047, 4.047 and 4.047 Å and the angles 90.00°, 90.00° and 90.00°. The distinct sites, in fractional coordinates, are Cu at (0.000, 0.000, 0.500), Ge at (0.500, 0.500, 0.500) and O at (0.000, 0.000, 0.000).


Version Q
An optimized crystal structure of Cu3GeO. Source: Alexandria, functional PBE-GGA.

The structure belongs to space group Pm-3m (No. 221); the cell edges are 4.470, 4.470 and 4.470 Å and the angles 90.00°, 90.00° and 90.00°. The distinct sites, in fractional coordinates, are Cu at (0.000, 0.000, 0.500), Ge at (0.000, 0.000, 0.000) and O at (0.500, 0.500, 0.500).


Energies relative to the most stable structure, in eV/atom: version P 0.000; version Q 0.963.


Version P
An optimized crystal structure of Cu2Ge2O. Source: Alexandria, functional PBE-GGA.

The structure belongs to space group I4/mmm (No. 139); the cell edges are 3.316, 3.316 and 12.983 Å and the angles 90.00°, 90.00° and 90.00°. The distinct sites, in fractional coordinates, are Cu at (0.000, 0.500, 0.250), Ge at (0.000, 0.000, 0.094) and O at (0.000, 0.000, 0.500).


Version Q
An optimized crystal structure of Cu2Ge2O. Source: Alexandria, functional PBE-GGA.

The structure belongs to space group P4/mbm (No. 127); the cell edges are 6.077, 6.077 and 3.932 Å and the angles 90.00°, 90.00° and 90.00°. The distinct sites, in fractional coordinates, are Cu at (0.137, 0.363, 0.000), Ge at (0.185, 0.685, 0.500) and O at (0.000, 0.000, 0.500).


Energies relative to the most stable structure, in eV/atom: version P 0.113; version Q 0.000.


Version P
An optimized crystal structure of Cu2GeO. Source: Alexandria, functional PBE-GGA.

The structure belongs to space group Fm-3m (No. 225); the cell edges are 5.835, 5.835 and 5.835 Å and the angles 90.00°, 90.00° and 90.00°. The distinct sites, in fractional coordinates, are Cu at (0.250, 0.250, 0.250), Ge at (0.000, 0.000, 0.000) and O at (0.000, 0.000, 0.500).


Version Q
An optimized crystal structure of Cu2GeO. Source: Alexandria, functional PBE-GGA.

The structure belongs to space group I-42d (No. 122); the cell edges are 5.465, 5.465 and 7.794 Å and the angles 90.00°, 90.00° and 90.00°. The distinct sites, in fractional coordinates, are Cu at (0.180, 0.250, 0.125), Ge at (0.000, 0.000, 0.500) and O at (0.000, 0.000, 0.000).


Energies relative to the most stable structure, in eV/atom: version P 0.339; version Q 0.000.